(1)
# Na4Nd3SbO8, optimized geometry, DFT PBE
data_Na4Nd3SbO8
_chemical_formula_sum 'Na12 Nd9 Sb3 O24'
_space_group_name_H-M_alt 'R -3 m'
_space_group_IT_number 166
_space_group_name_Hall '-R 3 2"'
_cell_length_a 7.1137
_cell_length_b 7.1137
_cell_length_c 16.9355
_cell_angle_alpha 90.00
_cell_angle_beta 90.00
_cell_angle_gamma 120.00
loop_
_atom_site_label
_atom_site_type_symbol
_atom_site_fract_x
_atom_site_fract_y
_atom_site_fract_z
_atom_site_occupancy
Na1 Na 0.0000 0.0000 0.0000 1
Na2 Na 0.0000 0.5000 0.0000 1
Nd1 Nd 0.0000 0.5000 0.5000 1
Sb1 Sb 0.0000 0.0000 0.5000 1
O1 O 0.0000 0.0000 0.2386 1
O2 O 0.0036 0.5018 0.2396 1
# Density of states at the Fermi level in states/eV/f.u.: 0.00
# Formation energy without anion corrections in kJ/mol of atoms: -219.90

---

(2)
# Na2NdScO4, optimized geometry, DFT PBE
data_Na2NdScO4
_chemical_formula_sum 'Na2 Nd1 Sc1 O4'
_space_group_name_H-M_alt 'P 1 2/m 1'
_space_group_IT_number 10
_space_group_name_Hall '-P 2y'
_cell_length_a 5.887
_cell_length_b 3.398
_cell_length_c 5.908
_cell_angle_alpha 90.00
_cell_angle_beta 109.55
_cell_angle_gamma 90.00
loop_
_atom_site_label
_atom_site_type_symbol
_atom_site_fract_x
_atom_site_fract_y
_atom_site_fract_z
_atom_site_occupancy
Na1 Na 0.000 0.000 0.000 1
Na2 Na 0.500 0.500 0.000 1
Nd1 Nd 0.000 0.500 0.500 1
Sc1 Sc 0.500 0.000 0.500 1
O1 O 0.264 0.000 0.711 1
O2 O 0.282 0.500 0.292 1
# Density of states at the Fermi level in states/eV/f.u.: 0.00
# Formation energy without anion corrections in kJ/mol of atoms: -257.41

---

What did the second record say?
# Na2NdScO4, optimized geometry, DFT PBE
data_Na2NdScO4
_chemical_formula_sum 'Na2 Nd1 Sc1 O4'
_space_group_name_H-M_alt 'P 1 2/m 1'
_space_group_IT_number 10
_space_group_name_Hall '-P 2y'
_cell_length_a 5.887
_cell_length_b 3.398
_cell_length_c 5.908
_cell_angle_alpha 90.00
_cell_angle_beta 109.55
_cell_angle_gamma 90.00
loop_
_atom_site_label
_atom_site_type_symbol
_atom_site_fract_x
_atom_site_fract_y
_atom_site_fract_z
_atom_site_occupancy
Na1 Na 0.000 0.000 0.000 1
Na2 Na 0.500 0.500 0.000 1
Nd1 Nd 0.000 0.500 0.500 1
Sc1 Sc 0.500 0.000 0.500 1
O1 O 0.264 0.000 0.711 1
O2 O 0.282 0.500 0.292 1
# Density of states at the Fermi level in states/eV/f.u.: 0.00
# Formation energy without anion corrections in kJ/mol of atoms: -257.41